A relaxed structure of NpPb2Cl6. Source: Alexandria, functional PBE-GGA.

Geometry as POSCAR:
```
NpPb2Cl6
1.0
7.1295 0.0000 0.0000
0.0000 7.1295 0.0000
0.0000 0.0000 12.1135
Np Pb Cl
2 4 12
Cartesian
0.0000 0.0000 0.0000
3.5648 3.5648 6.0568
0.0000 0.0000 4.2138
3.5648 3.5648 10.2706
3.5648 3.5648 1.8430
0.0000 0.0000 7.8997
2.1298 2.1298 4.1456
4.9997 4.9997 4.1456
1.4350 5.6946 10.2023
5.6946 1.4350 10.2023
1.4350 5.6946 1.9112
5.6946 1.4350 1.9112
2.1298 2.1298 7.9680
4.9997 4.9997 7.9680
1.9114 1.9114 0.0000
5.2182 5.2182 0.0000
1.6534 5.4761 6.0568
5.4761 1.6534 6.0568
```

Output
The value obtained for the total energy is -4.703 eV per atom. Its density is 4.66 Mg/m³. Its volume is 308 Å³/f.u. The value obtained for the uncorrected formation energy is -1210 meV/atom. As for the crystal system: tetragonal. Its density of states at the Fermi level is 0.7992 states/eV/atom.


A relaxed structure of CaAg2Au10. Source: Alexandria, functional PBE-GGA.

Geometry as POSCAR:
```
CaAg2Au10
1.0
5.5572 0.0000 0.0000
2.7786 6.7423 0.0000
2.7786 0.0000 6.8170
Ca Ag Au
1 2 10
Cartesian
0.0000 0.0000 0.0000
1.3893 3.3711 0.0000
4.1679 3.3711 0.0000
5.5572 4.3705 4.4624
5.5572 2.3718 2.3546
8.3359 2.3718 4.4624
2.7786 4.3705 2.3546
1.3893 0.0000 3.4085
4.1679 0.0000 3.4085
2.7786 1.4439 1.4454
8.3358 5.2984 5.3716
5.5572 5.2984 1.4454
5.5572 1.4439 5.3716
```

Output
The value obtained for the total energy is -3.266 eV per atom. Its density is 14.47 Mg/m³. Its volume is 255 Å³/f.u. The calculation puts the energy of formation from the pure elements at -0.15 eV/atom. As for the crystal system: orthorhombic. Its density of states at the Fermi level is 0.2324 states/eV/atom.


A relaxed structure of AlCrCl2. Source: Alexandria, functional PBE-GGA.

Geometry as POSCAR:
```
AlCrCl2
1.0
-1.9541 1.0946 4.3854
-3.2527 -3.0575 2.0785
1.2672 -2.6078 3.9802
Cr Al Cl
1 1 2
Cartesian
-1.9698 -2.2854 5.2220
0.0000 0.0000 0.0000
-0.9849 -1.1427 2.6110
-2.9546 -3.4281 7.8331
```

Output
The value obtained for the total energy is -4.278 eV per atom. Its density is 2.95 Mg/m³. Its volume is 84 Å³/f.u. For the energy relative to the lowest polymorph listed for this composition, the calculation gives 541 meV per atom. The value obtained for the uncorrected formation energy is -13 meV/atom. As for the crystal system: cubic. Its density of states at the Fermi level is 0.0000 states/eV/atom.


A relaxed structure of Rb3Ac3SmO8. Source: Alexandria, functional PBE-GGA.

Geometry as POSCAR:
```
Rb3Ac3SmO8
1.0
7.6260 0.0000 -0.0001
-3.8130 6.6044 -0.0236
-0.0001 -4.3798 6.7036
Rb Ac Sm O
3 3 1 8
Cartesian
0.0000 0.0000 0.0000
-1.9065 3.3022 -0.0118
1.9065 3.3022 -0.0118
3.8130 -2.1899 3.3518
1.9065 1.1123 3.3399
-1.9065 1.1123 3.3400
0.0000 -2.1899 3.3518
0.0000 2.2087 2.0958
3.8130 0.0159 4.5841
3.8130 2.3252 2.1894
-0.0001 -0.1006 4.4905
5.8209 -1.1516 2.2021
-2.0079 3.3762 4.4777
1.8051 -1.1517 2.2021
2.0079 3.3763 4.4777
```

Output
The value obtained for the total energy is -6.514 eV per atom. Its density is 5.99 Mg/m³. Its volume is 337 Å³/f.u. The value obtained for the uncorrected formation energy is -2540 meV/atom. As for the crystal system: trigonal. Its density of states at the Fermi level is 0.9978 states/eV/atom.


A relaxed structure of Tb3Ge2RuC. Source: Alexandria, functional PBE-GGA.

Geometry as POSCAR:
```
Tb3Ge2RuC
1.0
3.9586 0.0000 0.0000
0.0000 4.7499 0.0000
-1.9793 -2.3749 7.8173
Tb Ge Ru C
3 2 1 1
Cartesian
0.0000 2.3749 0.0000
0.0000 0.0000 2.5578
1.9793 2.3749 5.2595
1.9793 2.3749 2.2954
0.0000 0.0000 5.5219
1.9793 0.0000 0.0000
0.0000 0.0000 0.0000
```

Output
The value obtained for the total energy is -6.472 eV per atom. Its density is 8.31 Mg/m³. Its volume is 147 Å³/f.u. The calculation puts the energy of formation from the pure elements at -0.53 eV/atom. As for the crystal system: orthorhombic. Its density of states at the Fermi level is 0.6987 states/eV/atom.


Question: What is the volume in the fourth record?
Answer: 337 Å³/f.u.